(1)
Here is an optimized crystal structure of Ce4Ge2O from Alexandria via LeMat-Bulk. Energies are from GGA-PBE.

Output
**Raw formation energy**: -1.197 eV/atom

Lattice parameters (Å, degrees): 4.653 4.653 15.805 90.00 90.00 90.00
Space group I4/mmm (No. 139)
One atom of each set of equivalent atoms:
Ce: 0.000 0.000 0.173 x4
Ce: 0.000 0.500 0.000 x4
Ge: 0.000 0.000 0.364 x4
O: 0.000 0.000 0.000 x2

(2)
Here is an optimized crystal structure of Ce3GeO3 from Alexandria via LeMat-Bulk. Energies are from GGA-PBE.

Output
**Raw formation energy**: -2.518 eV/atom

Lattice parameters (Å, degrees): 6.8336 6.8336 21.3826 90.00 90.00 120.00
Space group R-3 (No. 148, hexagonal axes)
One atom of each set of equivalent atoms:
Ce: 0.0010 0.6521 0.4035 x18
Ge: 0.0000 0.0000 0.1666 x6
O: 0.0040 0.6812 0.6255 x18

(3)
Here is an optimized crystal structure of CeGeO2 from Alexandria via LeMat-Bulk. Energies are from GGA-PBE.

Output
**Relative energy among the computed polymorphs**: 0.0000 eV per atom
**Raw formation energy**: -1.873 eV/atom

Lattice parameters (Å, degrees): 6.729 6.729 11.694 90.00 90.00 90.00
Space group I4_1/amd (No. 141, origin choice 2)
One atom of each set of equivalent atoms:
Ce: 0.000 0.000 0.000 x8
Ge: 0.000 0.000 0.500 x8
O: 0.000 0.011 0.798 x16

(4)
Here is an optimized crystal structure of Ce3Ge5O12 from Alexandria via LeMat-Bulk. Energies are from GGA-PBE.

Output
**Raw formation energy**: -2.057 eV/atom

Lattice parameters (Å, degrees): 13.115 13.115 13.115 90.00 90.00 90.00
Space group Ia-3d (No. 230)
One atom of each set of equivalent atoms:
Ce: 0.000 0.250 0.125 x24
Ge: 0.000 0.000 0.000 x16
Ge: 0.000 0.250 0.375 x24
O: 0.036 0.059 0.663 x96

Question: raw formation energy of number 4 (Ce3Ge5O12)?
Answer: -2.057 eV/atom